{
  "formula": "Li2Tl3I2Br4",
  "functional": "PBE",
  "state": "optimized geometry",
  "cell": [[-2.585, 2.585, 13.386], [2.585, -2.585, 13.386], [2.585, 2.585, -13.386]],
  "species": ["Li", "Li", "Tl", "Tl", "Tl", "I", "I", "Br", "Br", "Br", "Br"],
  "fractional_positions": [[0.093, 0.093, 0.000], [0.907, 0.907, 0.000], [0.328, 0.328, 0.000], [0.500, 0.500, 0.000], [0.672, 0.672, 0.000], [0.197, 0.197, 0.000], [0.803, 0.803, 0.000], [0.072, 0.572, 0.500], [0.428, 0.928, 0.500], [0.572, 0.072, 0.500], [0.928, 0.428, 0.500]],
  "magnetic_moment_mub_per_cell": 0.00,
  "raw_formation_energy_ev_per_atom": -0.89,
  "final_energy_ev_per_cell": -30.46
}